Below is a geometry-optimized ZrCdSi2 structure, with properties calculated at the PBE-GGA level.

Computed properties:
Uncorrected formation energy: -102 meV per atom
Density of states at the Fermi level: 1.1 states/eV/f.u.

Cell and atoms, written as extended XYZ:
```
8
Lattice="4.078 0.000 0.000 0.000 4.078 0.000 0.000 0.000 8.597" Properties=species:S:1:pos:R:3 pbc="T T T"
Zr 0.000 0.000 0.000
Zr 2.039 2.039 4.299
Cd 0.000 0.000 4.299
Cd 2.039 2.039 0.000
Si 0.000 2.039 2.149
Si 0.000 2.039 6.448
Si 2.039 0.000 2.149
Si 2.039 0.000 6.448
```

Below is a geometry-optimized Ac2UBeO6 structure, with properties calculated at the PBE-GGA level.

Computed properties:
Uncorrected formation energy: -2950 meV per atom
Density of states at the Fermi level: 1.5 states/eV/f.u.

Cell and atoms, written as extended XYZ:
```
20
Lattice="6.352 0.000 0.000 0.000 7.238 0.000 0.000 0.000 6.318" Properties=species:S:1:pos:R:3 pbc="T T T"
Ac 1.588 0.063 1.108
Ac 1.588 3.555 1.108
Ac 4.764 3.682 5.210
Ac 4.764 7.174 5.210
U 1.588 5.428 4.373
U 4.764 1.809 1.945
Be 1.588 1.809 4.028
Be 4.764 5.428 2.290
O 0.212 5.428 6.147
O 0.299 1.809 2.984
O 1.588 0.323 4.821
O 1.588 3.295 4.821
O 2.877 1.809 2.984
O 2.964 5.428 6.147
O 3.388 1.809 0.171
O 3.475 5.428 3.334
O 4.764 3.942 1.497
O 4.764 6.914 1.497
O 6.053 5.428 3.334
O 6.140 1.809 0.171
```

Below is a geometry-optimized Fe2Cu2Pt7 structure, with properties calculated at the PBE-GGA level.

Computed properties:
Total DFT energy (no corrections): -6.203 eV/atom
Density of states at the Fermi level: 10.2 states/eV/f.u.

Cell and atoms, written as extended XYZ:
```
11
Lattice="3.449 -3.695 0.000 3.449 3.695 0.000 -1.231 0.000 6.357" Properties=species:S:1:pos:R:3 pbc="T T T"
Fe 3.449 2.326 0.000
Fe 3.449 -2.326 0.000
Cu 0.241 0.000 2.232
Cu 5.426 0.000 4.125
Pt 0.709 1.410 4.447
Pt 2.200 0.000 0.496
Pt 0.709 -1.410 4.447
Pt 2.833 0.000 3.178
Pt 4.958 1.410 1.910
Pt 3.466 0.000 5.861
Pt 4.958 -1.410 1.910
```